Entry 1:
VASP calculation (PBE) on a relaxed TaNbIr crystal.

Structure (CIF):
```
data_TaNbIr
_symmetry_space_group_name_H-M 'P 1'
_symmetry_Int_Tables_number 1
_symmetry_space_group_name_Hall 'P 1'
_cell_length_a 5.244
_cell_length_b 5.244
_cell_length_c 5.244
_cell_angle_alpha 143.27
_cell_angle_beta 143.27
_cell_angle_gamma 52.92
loop_
_atom_site_label
_atom_site_fract_x
_atom_site_fract_y
_atom_site_fract_z
_atom_site_occupancy
Ta1 0.000 0.000 0.000 1
Nb1 0.327 0.327 0.000 1
Ir1 0.661 0.661 0.000 1
```

* total moment: 0.00 Bohr magnetons per cell
* crystal system: tetragonal
* space-group type: I4mm, No. 107
* DFT total energy: -10.556 eV per atom
* energy of formation: -0.294 eV/atom
* ΔE to the lowest computed polymorph: 0.022 eV/atom

=====

Entry 2:
VASP calculation (PBE) on a relaxed NaTb2PdO5 crystal.

Structure (CIF):
```
data_NaTb2PdO5
_symmetry_space_group_name_H-M 'P 1'
_symmetry_Int_Tables_number 1
_symmetry_space_group_name_Hall 'P 1'
_cell_length_a 7.555
_cell_length_b 7.555
_cell_length_c 7.555
_cell_angle_alpha 128.68
_cell_angle_beta 128.68
_cell_angle_gamma 75.53
loop_
_atom_site_label
_atom_site_fract_x
_atom_site_fract_y
_atom_site_fract_z
_atom_site_occupancy
Na1 0.250 0.250 0.000 1
Na2 0.750 0.750 0.000 1
Tb1 0.174 0.674 0.847 1
Tb2 0.326 0.174 0.500 1
Tb3 0.674 0.826 0.500 1
Tb4 0.826 0.326 0.153 1
Pd1 0.250 0.750 0.500 1
Pd2 0.750 0.250 0.500 1
O1 0.000 0.000 0.000 1
O2 0.018 0.248 0.500 1
O3 0.248 0.748 0.231 1
O4 0.252 0.482 0.500 1
O5 0.482 0.982 0.231 1
O6 0.500 0.500 0.000 1
O7 0.518 0.018 0.769 1
O8 0.748 0.518 0.500 1
O9 0.752 0.252 0.769 1
O10 0.982 0.752 0.500 1
```

* total moment: 2.06 Bohr magnetons per cell
* crystal system: tetragonal
* space-group type: I4/mcm, No. 140
* DFT total energy: -6.612 eV per atom
* raw formation energy: -2105 meV/atom

=====

DFT total energy of number 2 (NaTb2PdO5)?
-6.612 eV per atom

=====

What is the formula in the first record?
TaNbIr

=====

Which formula does entry 2 have?
NaTb2PdO5